Density functional theory data (PBE-GGA) for NaZrGa2Ag after structural relaxation.

Results
Magnetization   0.0 μB per cell
Energy relative to the elements   515 meV/atom
SG   P4/mmm

abc: 4.8570 4.8014 4.8570
angles: 90.00 90.00 90.00
Positions (direct):
Ga (0.0000, 0.0000, 0.5000)
Ga (0.5000, 0.0000, 0.0000)
Ag (0.0000, 0.0000, 0.0000)
Na (0.0000, 0.5000, 0.0000)
Zr (0.5000, 0.5000, 0.5000)